(1)
Compound: LiGa2AsN
Source: Alexandria
Functional: PBE
Structure: optimized geometry

The structure in extended XYZ format:
```
5
Lattice="4.954 0.000 0.000 0.000 4.954 0.000 0.000 0.000 4.683" Properties=species:S:1:pos:R:3 pbc="T T T"
As 0.000 0.000 0.000
Li 0.000 0.000 2.341
Ga 0.000 2.477 0.000
Ga 2.477 0.000 0.000
N 2.477 2.477 2.341
```

Computed properties:
For the total energy, the calculation gives -15.9 eV/cell. Its symmetry is P4/mmm (123). For the formation energy without anion corrections, the calculation gives 1009 meV/atom.

---

(2)
Compound: AsPtSe2N
Source: Alexandria
Functional: PBE
Structure: optimized geometry

The structure in extended XYZ format:
```
5
Lattice="-0.219 -4.968 -1.130 3.438 -0.979 3.637 -2.571 -0.414 2.319" Properties=species:S:1:pos:R:3 pbc="T T T"
As 0.000 0.000 0.000
Se 1.719 -0.489 1.819
Se -0.109 -2.484 -0.565
Pt 0.324 -3.180 2.413
N -1.286 -0.207 1.159
```

Computed properties:
For the total energy, the calculation gives -20.8 eV/cell. Its symmetry is P4/mmm (123). For the formation energy without anion corrections, the calculation gives 1035 meV/atom.